(1)
Computed, not measured: TlPd4Pb after structural relaxation at the GGA-PBE level of DFT.

```
data_TlPd4Pb
_space_group_name_H-M_alt 'P n m a'
_space_group_IT_number 62
_space_group_name_Hall '-P 2ac 2n'
_cell_length_a 7.8285
_cell_length_b 3.1974
_cell_length_c 17.6611
_cell_angle_alpha 90.00
_cell_angle_beta 90.00
_cell_angle_gamma 90.00
loop_
_atom_site_label
_atom_site_type_symbol
_atom_site_fract_x
_atom_site_fract_y
_atom_site_fract_z
Tl1 Tl 0.2422 0.2500 0.0591
Pd1 Pd 0.0419 0.7500 0.4335
Pd2 Pd 0.0638 0.7500 0.7002
Pd3 Pd 0.1036 0.7500 0.1735
Pd4 Pd 0.1161 0.7500 0.9369
Pb1 Pb 0.2448 0.2500 0.8119
```

Output
Energy relative to the lowest polymorph listed for this composition, meV/atom: 0

(2)
Computed, not measured: Tl3Pd7Pb after structural relaxation at the GGA-PBE level of DFT.

```
data_Tl3Pd7Pb
_space_group_name_H-M_alt 'C 1 2/m 1'
_space_group_IT_number 12
_space_group_name_Hall '-C 2y'
_cell_length_a 8.8720
_cell_length_b 9.7499
_cell_length_c 5.5794
_cell_angle_alpha 90.00
_cell_angle_beta 113.73
_cell_angle_gamma 90.00
loop_
_atom_site_label
_atom_site_type_symbol
_atom_site_fract_x
_atom_site_fract_y
_atom_site_fract_z
Tl1 Tl 0.0000 0.0000 0.0000
Tl2 Tl 0.0000 0.2227 0.5000
Pd1 Pd 0.0000 0.5000 0.5000
Pd2 Pd 0.1725 0.2450 0.1801
Pd3 Pd 0.2023 0.0000 0.5352
Pb1 Pb 0.0000 0.5000 0.0000
```

(3)
Computed, not measured: TlPd2Pb2 after structural relaxation at the GGA-PBE level of DFT.

```
data_TlPd2Pb2
_space_group_name_H-M_alt 'P 4/m b m'
_space_group_IT_number 127
_space_group_name_Hall '-P 4 2ab'
_cell_length_a 8.4399
_cell_length_b 8.4399
_cell_length_c 3.3015
_cell_angle_alpha 90.00
_cell_angle_beta 90.00
_cell_angle_gamma 90.00
loop_
_atom_site_label
_atom_site_type_symbol
_atom_site_fract_x
_atom_site_fract_y
_atom_site_fract_z
Tl1 Tl 0.0000 0.0000 0.0000
Pd1 Pd 0.1370 0.3630 0.5000
Pb1 Pb 0.1506 0.6506 0.0000
```

Output
Energy relative to the lowest polymorph listed for this composition, meV/atom: 111

(4)
Computed, not measured: TlPdPb after structural relaxation at the GGA-PBE level of DFT.

```
data_TlPdPb
_space_group_name_H-M_alt 'F d d d'
_space_group_IT_number 70
_cell_length_a 5.6671
_cell_length_b 10.3341
_cell_length_c 19.4265
_cell_angle_alpha 90.00
_cell_angle_beta 90.00
_cell_angle_gamma 90.00
loop_
_space_group_symop_operation_xyz
'x,y,z'
'-x,-y,-z'
'-x+1/4,-y+1/4,z'
'x+1/4,y+1/4,-z'
'x,-y+1/4,-z+1/4'
'-x,y+1/4,z+1/4'
'-x+1/4,y,-z+1/4'
'x+1/4,-y,z+1/4'
'x,y+1/2,z+1/2'
'-x,-y+1/2,-z+1/2'
'-x+1/4,-y+3/4,z+1/2'
'x+1/4,y+3/4,-z+1/2'
'x,-y+3/4,-z+3/4'
'-x,y+3/4,z+3/4'
'-x+1/4,y+1/2,-z+3/4'
'x+1/4,-y+1/2,z+3/4'
'x+1/2,y,z+1/2'
'-x+1/2,-y,-z+1/2'
'-x+3/4,-y+1/4,z+1/2'
'x+3/4,y+1/4,-z+1/2'
'x+1/2,-y+1/4,-z+3/4'
'-x+1/2,y+1/4,z+3/4'
'-x+3/4,y,-z+3/4'
'x+3/4,-y,z+3/4'
'x+1/2,y+1/2,z'
'-x+1/2,-y+1/2,-z'
'-x+3/4,-y+3/4,z'
'x+3/4,y+3/4,-z'
'x+1/2,-y+3/4,-z+1/4'
'-x+1/2,y+3/4,z+1/4'
'-x+3/4,y+1/2,-z+1/4'
'x+3/4,-y+1/2,z+1/4'
loop_
_atom_site_label
_atom_site_type_symbol
_atom_site_fract_x
_atom_site_fract_y
_atom_site_fract_z
Tl1 Tl 0.1250 0.2876 0.1250
Pd1 Pd 0.1250 0.1250 0.2529
Pb1 Pb 0.1250 0.1250 0.5424
```

Output
Energy relative to the lowest polymorph listed for this composition, meV/atom: 6

(5)
Computed, not measured: TlPd2Pb2 after structural relaxation at the GGA-PBE level of DFT.

```
data_TlPd2Pb2
_space_group_name_H-M_alt 'P 4/m b m'
_space_group_IT_number 127
_space_group_name_Hall '-P 4 2ab'
_cell_length_a 7.8940
_cell_length_b 7.8940
_cell_length_c 3.6955
_cell_angle_alpha 90.00
_cell_angle_beta 90.00
_cell_angle_gamma 90.00
loop_
_atom_site_label
_atom_site_type_symbol
_atom_site_fract_x
_atom_site_fract_y
_atom_site_fract_z
Tl1 Tl 0.0000 0.0000 0.0000
Pd1 Pd 0.1328 0.3672 0.0000
Pb1 Pb 0.1597 0.6597 0.5000
```

Output
Energy relative to the lowest polymorph listed for this composition, meV/atom: 7

(6)
Computed, not measured: Tl2PdPb2 after structural relaxation at the GGA-PBE level of DFT.

```
data_Tl2PdPb2
_space_group_name_H-M_alt 'P 4/m b m'
_space_group_IT_number 127
_space_group_name_Hall '-P 4 2ab'
_cell_length_a 7.2971
_cell_length_b 7.2971
_cell_length_c 5.2279
_cell_angle_alpha 90.00
_cell_angle_beta 90.00
_cell_angle_gamma 90.00
loop_
_atom_site_label
_atom_site_type_symbol
_atom_site_fract_x
_atom_site_fract_y
_atom_site_fract_z
Tl1 Tl 0.1535 0.3465 0.0000
Pd1 Pd 0.0000 0.0000 0.0000
Pb1 Pb 0.1646 0.6646 0.5000
```

Output
Energy relative to the lowest polymorph listed for this composition, meV/atom: 172

(7)
Computed, not measured: TlPd3Pb after structural relaxation at the GGA-PBE level of DFT.

```
data_TlPd3Pb
_space_group_name_H-M_alt 'P 1 21/m 1'
_space_group_IT_number 11
_space_group_name_Hall '-P 2yb'
_cell_length_a 4.8170
_cell_length_b 5.5477
_cell_length_c 7.6083
_cell_angle_alpha 90.00
_cell_angle_beta 104.92
_cell_angle_gamma 90.00
loop_
_atom_site_label
_atom_site_type_symbol
_atom_site_fract_x
_atom_site_fract_y
_atom_site_fract_z
Tl1 Tl 0.2148 0.2500 0.0960
Pd1 Pd 0.2160 0.7500 0.7346
Pd2 Pd 0.3929 0.7500 0.1340
Pd3 Pd 0.5000 0.0000 0.5000
Pb1 Pb 0.0469 0.2500 0.6445
```

Output
Energy relative to the lowest polymorph listed for this composition, meV/atom: 2

(8)
Computed, not measured: TlPd2Pb8 after structural relaxation at the GGA-PBE level of DFT.

```
data_TlPd2Pb8
_space_group_name_H-M_alt 'C 1 2/m 1'
_space_group_IT_number 12
_space_group_name_Hall '-C 2y'
_cell_length_a 17.3999
_cell_length_b 6.6016
_cell_length_c 5.7588
_cell_angle_alpha 90.00
_cell_angle_beta 107.43
_cell_angle_gamma 90.00
loop_
_atom_site_label
_atom_site_type_symbol
_atom_site_fract_x
_atom_site_fract_y
_atom_site_fract_z
Tl1 Tl 0.0000 0.0000 0.0000
Pd1 Pd 0.2359 0.5000 0.3567
Pb1 Pb 0.0893 0.5000 0.9577
Pb2 Pb 0.1176 0.2461 0.5001
Pb3 Pb 0.2117 0.0000 0.0934
```

(9)
Computed, not measured: Tl3PdPb after structural relaxation at the GGA-PBE level of DFT.

```
data_Tl3PdPb
_space_group_name_H-M_alt 'P m -3 m'
_space_group_IT_number 221
_space_group_name_Hall '-P 4 2 3'
_cell_length_a 5.3672
_cell_length_b 5.3672
_cell_length_c 5.3672
_cell_angle_alpha 90.00
_cell_angle_beta 90.00
_cell_angle_gamma 90.00
loop_
_atom_site_label
_atom_site_type_symbol
_atom_site_fract_x
_atom_site_fract_y
_atom_site_fract_z
Tl1 Tl 0.0000 0.0000 0.5000
Pd1 Pd 0.0000 0.0000 0.0000
Pb1 Pb 0.5000 0.5000 0.5000
```

Output
Energy relative to the lowest polymorph listed for this composition, meV/atom: 163

(10)
Computed, not measured: Tl2PdPb after structural relaxation at the GGA-PBE level of DFT.

```
data_Tl2PdPb
_space_group_name_H-M_alt 'P 4/m m m'
_space_group_IT_number 123
_space_group_name_Hall '-P 4 2'
_cell_length_a 3.3871
_cell_length_b 3.3871
_cell_length_c 8.8222
_cell_angle_alpha 90.00
_cell_angle_beta 90.00
_cell_angle_gamma 90.00
loop_
_atom_site_label
_atom_site_type_symbol
_atom_site_fract_x
_atom_site_fract_y
_atom_site_fract_z
Tl1 Tl 0.0000 0.0000 0.1974
Pd1 Pd 0.5000 0.5000 0.0000
Pb1 Pb 0.5000 0.5000 0.5000
```

(11)
Computed, not measured: Tl2PdPb after structural relaxation at the GGA-PBE level of DFT.

```
data_Tl2PdPb
_space_group_name_H-M_alt 'I -4 2 d'
_space_group_IT_number 122
_space_group_name_Hall 'I -4 2bw'
_cell_length_a 6.6269
_cell_length_b 6.6269
_cell_length_c 13.2023
_cell_angle_alpha 90.00
_cell_angle_beta 90.00
_cell_angle_gamma 90.00
loop_
_atom_site_label
_atom_site_type_symbol
_atom_site_fract_x
_atom_site_fract_y
_atom_site_fract_z
Tl1 Tl 0.1944 0.2500 0.1250
Pd1 Pd 0.0000 0.0000 0.0000
Pb1 Pb 0.0000 0.0000 0.5000
```

(12)
Computed, not measured: TlPdPb after structural relaxation at the GGA-PBE level of DFT.

```
data_TlPdPb
_space_group_name_H-M_alt 'I 4 m m'
_space_group_IT_number 107
_space_group_name_Hall 'I 4 -2'
_cell_length_a 3.4305
_cell_length_b 3.4305
_cell_length_c 12.4030
_cell_angle_alpha 90.00
_cell_angle_beta 90.00
_cell_angle_gamma 90.00
loop_
_atom_site_label
_atom_site_type_symbol
_atom_site_fract_x
_atom_site_fract_y
_atom_site_fract_z
Tl1 Tl 0.0000 0.0000 0.0000
Pd1 Pd 0.0000 0.0000 0.3554
Pb1 Pb 0.0000 0.0000 0.7191
```

Output
Energy relative to the lowest polymorph listed for this composition, meV/atom: 50

| no. | calculated formation energy (eV/atom) |
| --- | --- |
| 1 | -0.17 |
| 2 | -0.06 |
| 3 | -0.06 |
| 4 | -0.16 |
| 5 | -0.16 |
| 6 | 0.08 |
| 7 | -0.14 |
| 8 | -0.07 |
| 9 | 0.08 |
| 10 | -0.01 |
| 11 | 0.37 |
| 12 | -0.12 |